Material: AcNdRu
Method: DFT, PBE
State: optimized geometry

POSCAR file:
```
AcNdRu
1.0
3.613 0.000 0.000
0.000 3.613 0.000
-1.807 -1.807 7.022
Ru Nd Ac
1 1 1
Direct
0.944 0.944 0.889
0.329 0.329 0.658
0.576 0.576 0.153
```

Computed properties:
The value obtained for the formation energy is -0.069 eV per atom. For the total magnetization, the calculation gives 0.00 μB/f.u.